No. 1
# HoSi3Os GGA-PBE relaxed
data_HoSi3Os
_symmetry_space_group_name_H-M 'P 1'
_symmetry_Int_Tables_number 1
_cell_length_a 5.570
_cell_length_b 5.555
_cell_length_c 5.801
_cell_angle_alpha 90.00
_cell_angle_beta 101.98
_cell_angle_gamma 90.00
loop_
_symmetry_equiv_pos_as_xyz
'x,y,z'
loop_
_atom_site_label
_atom_site_fract_x
_atom_site_fract_y
_atom_site_fract_z
Ho1 0.099 0.250 0.317
Ho2 0.901 0.750 0.683
Si1 0.011 0.250 0.809
Si2 0.398 0.023 0.794
Si3 0.398 0.477 0.794
Si4 0.602 0.523 0.206
Si5 0.602 0.977 0.206
Si6 0.989 0.750 0.191
Os1 0.373 0.750 0.469
Os2 0.627 0.250 0.531
# - Energy relative to the elements, uncorrected: -469 meV per atom

No. 2
# Er3Tm7In GGA-PBE relaxed
data_Er3Tm7In
_symmetry_space_group_name_H-M 'P 1'
_symmetry_Int_Tables_number 1
_cell_length_a 6.862
_cell_length_b 6.862
_cell_length_c 8.395
_cell_angle_alpha 90.00
_cell_angle_beta 90.00
_cell_angle_gamma 120.00
loop_
_symmetry_equiv_pos_as_xyz
'x,y,z'
loop_
_atom_site_label
_atom_site_fract_x
_atom_site_fract_y
_atom_site_fract_z
Er1 0.168 0.335 0.000
Er2 0.168 0.832 0.000
Er3 0.665 0.832 0.000
Tm1 0.006 0.503 0.338
Tm2 0.331 0.165 0.661
Tm3 0.333 0.667 0.672
Tm4 0.497 0.503 0.338
Tm5 0.497 0.994 0.338
Tm6 0.835 0.165 0.661
Tm7 0.835 0.669 0.661
In1 0.000 0.000 0.336
# - Energy of formation from the pure elements: 133 kJ/mol of formula units

No. 3
# Ni6SnSb GGA-PBE relaxed
data_Ni6SnSb
_symmetry_space_group_name_H-M 'P 1'
_symmetry_Int_Tables_number 1
_cell_length_a 4.280
_cell_length_b 5.333
_cell_length_c 4.542
_cell_angle_alpha 90.00
_cell_angle_beta 90.00
_cell_angle_gamma 90.00
loop_
_symmetry_equiv_pos_as_xyz
'x,y,z'
loop_
_atom_site_label
_atom_site_fract_x
_atom_site_fract_y
_atom_site_fract_z
Ni1 0.000 0.000 0.000
Ni2 0.000 0.248 0.483
Ni3 0.000 0.752 0.483
Ni4 0.500 0.247 0.141
Ni5 0.500 0.500 0.621
Ni6 0.500 0.753 0.141
Sn1 0.000 0.500 0.987
Sb1 0.500 0.000 0.637
# - Energy relative to the elements, uncorrected: -166 meV per atom
# - Distance to the lowest polymorph of the same formula: 3 meV per atom

No. 4
# MnSiNiAu GGA-PBE relaxed
data_MnSiNiAu
_symmetry_space_group_name_H-M 'P 1'
_symmetry_Int_Tables_number 1
_cell_length_a 4.835
_cell_length_b 4.835
_cell_length_c 4.835
_cell_angle_alpha 48.66
_cell_angle_beta 48.66
_cell_angle_gamma 48.66
loop_
_symmetry_equiv_pos_as_xyz
'x,y,z'
loop_
_atom_site_label
_atom_site_fract_x
_atom_site_fract_y
_atom_site_fract_z
Mn1 0.000 0.000 0.000
Si1 0.778 0.778 0.778
Ni1 0.428 0.428 0.428
Au1 0.219 0.219 0.219
# - Energy relative to the elements, uncorrected: -154 meV per atom
# - Distance to the lowest polymorph of the same formula: 50 meV per atom

No. 5
# Be2WCl GGA-PBE relaxed
data_Be2WCl
_symmetry_space_group_name_H-M 'P 1'
_symmetry_Int_Tables_number 1
_cell_length_a 4.308
_cell_length_b 4.308
_cell_length_c 2.833
_cell_angle_alpha 90.00
_cell_angle_beta 90.00
_cell_angle_gamma 90.00
loop_
_symmetry_equiv_pos_as_xyz
'x,y,z'
loop_
_atom_site_label
_atom_site_fract_x
_atom_site_fract_y
_atom_site_fract_z
Be1 0.000 0.500 0.000
Be2 0.500 0.000 0.000
W1 0.000 0.000 0.500
Cl1 0.500 0.500 0.500
# - Energy relative to the elements, uncorrected: 742 meV per atom
# - Distance to the lowest polymorph of the same formula: 540 meV per atom

No. 6
# PaCuGeAu GGA-PBE relaxed
data_PaCuGeAu
_symmetry_space_group_name_H-M 'P 1'
_symmetry_Int_Tables_number 1
_cell_length_a 4.752
_cell_length_b 4.752
_cell_length_c 4.752
_cell_angle_alpha 60.00
_cell_angle_beta 60.00
_cell_angle_gamma 60.00
loop_
_symmetry_equiv_pos_as_xyz
'x,y,z'
loop_
_atom_site_label
_atom_site_fract_x
_atom_site_fract_y
_atom_site_fract_z
Pa1 0.000 0.000 0.000
Cu1 0.250 0.250 0.250
Ge1 0.750 0.750 0.750
Au1 0.500 0.500 0.500
# - Energy of formation from the pure elements: -47 kJ/mol of formula units

No. 7
# Li2ZrSi2 GGA-PBE relaxed
data_Li2ZrSi2
_symmetry_space_group_name_H-M 'P 1'
_symmetry_Int_Tables_number 1
_cell_length_a 6.278
_cell_length_b 6.278
_cell_length_c 6.278
_cell_angle_alpha 145.47
_cell_angle_beta 145.47
_cell_angle_gamma 49.63
loop_
_symmetry_equiv_pos_as_xyz
'x,y,z'
loop_
_atom_site_label
_atom_site_fract_x
_atom_site_fract_y
_atom_site_fract_z
Li1 0.250 0.750 0.500
Li2 0.750 0.250 0.500
Zr1 0.000 0.000 0.000
Si1 0.399 0.399 0.000
Si2 0.601 0.601 0.000
# - Energy relative to the elements, uncorrected: -401 meV per atom
# - Distance to the lowest polymorph of the same formula: 0 meV per atom

No. 8
# Ac5Pr2Y2 GGA-PBE relaxed
data_Ac5Pr2Y2
_symmetry_space_group_name_H-M 'P 1'
_symmetry_Int_Tables_number 1
_cell_length_a 9.338
_cell_length_b 9.338
_cell_length_c 7.393
_cell_angle_alpha 109.27
_cell_angle_beta 109.27
_cell_angle_gamma 37.19
loop_
_symmetry_equiv_pos_as_xyz
'x,y,z'
loop_
_atom_site_label
_atom_site_fract_x
_atom_site_fract_y
_atom_site_fract_z
Ac1 0.000 0.000 0.000
Ac2 0.148 0.148 0.718
Ac3 0.419 0.419 0.617
Ac4 0.581 0.581 0.383
Ac5 0.852 0.852 0.282
Pr1 0.365 0.365 0.034
Pr2 0.635 0.635 0.966
Y1 0.214 0.214 0.287
Y2 0.786 0.786 0.713
# - Energy of formation from the pure elements: 90 kJ/mol of formula units

No. 9
# Na3HfCd GGA-PBE relaxed
data_Na3HfCd
_symmetry_space_group_name_H-M 'P 1'
_symmetry_Int_Tables_number 1
_cell_length_a 5.527
_cell_length_b 5.527
_cell_length_c 5.527
_cell_angle_alpha 90.00
_cell_angle_beta 90.00
_cell_angle_gamma 90.00
loop_
_symmetry_equiv_pos_as_xyz
'x,y,z'
loop_
_atom_site_label
_atom_site_fract_x
_atom_site_fract_y
_atom_site_fract_z
Na1 0.000 0.000 0.500
Na2 0.000 0.500 0.000
Na3 0.500 0.000 0.000
Hf1 0.500 0.500 0.500
Cd1 0.000 0.000 0.000
# - Energy of formation from the pure elements: 487 kJ/mol of formula units
# - Distance to the lowest polymorph of the same formula: 0 meV per atom

No. 10
# MgMn4Ir GGA-PBE relaxed
data_MgMn4Ir
_symmetry_space_group_name_H-M 'P 1'
_symmetry_Int_Tables_number 1
_cell_length_a 4.720
_cell_length_b 4.720
_cell_length_c 4.720
_cell_angle_alpha 60.00
_cell_angle_beta 60.00
_cell_angle_gamma 60.00
loop_
_symmetry_equiv_pos_as_xyz
'x,y,z'
loop_
_atom_site_label
_atom_site_fract_x
_atom_site_fract_y
_atom_site_fract_z
Mg1 0.000 0.000 0.000
Mn1 0.120 0.627 0.627
Mn2 0.627 0.120 0.627
Mn3 0.627 0.627 0.120
Mn4 0.627 0.627 0.627
Ir1 0.250 0.250 0.250
# - Energy of formation from the pure elements: 57 kJ/mol of formula units

No. 11
# MgTaW GGA-PBE relaxed
data_MgTaW
_symmetry_space_group_name_H-M 'P 1'
_symmetry_Int_Tables_number 1
_cell_length_a 4.475
_cell_length_b 4.475
_cell_length_c 4.475
_cell_angle_alpha 60.00
_cell_angle_beta 60.00
_cell_angle_gamma 60.00
loop_
_symmetry_equiv_pos_as_xyz
'x,y,z'
loop_
_atom_site_label
_atom_site_fract_x
_atom_site_fract_y
_atom_site_fract_z
Mg1 0.000 0.000 0.000
Ta1 0.500 0.500 0.500
W1 0.250 0.250 0.250
# - Energy of formation from the pure elements: 325 kJ/mol of formula units
# - Distance to the lowest polymorph of the same formula: 883 meV per atom

No. 12
# Dy4PuRh5 GGA-PBE relaxed
data_Dy4PuRh5
_symmetry_space_group_name_H-M 'P 1'
_symmetry_Int_Tables_number 1
_cell_length_a 3.397
_cell_length_b 3.397
_cell_length_c 17.434
_cell_angle_alpha 90.00
_cell_angle_beta 90.00
_cell_angle_gamma 90.00
loop_
_symmetry_equiv_pos_as_xyz
'x,y,z'
loop_
_atom_site_label
_atom_site_fract_x
_atom_site_fract_y
_atom_site_fract_z
Dy1 0.000 0.000 0.100
Dy2 0.000 0.000 0.299
Dy3 0.000 0.000 0.701
Dy4 0.000 0.000 0.900
Pu1 0.000 0.000 0.500
Rh1 0.500 0.500 0.000
Rh2 0.500 0.500 0.199
Rh3 0.500 0.500 0.398
Rh4 0.500 0.500 0.602
Rh5 0.500 0.500 0.801
# - Energy of formation from the pure elements: -738 kJ/mol of formula units

No. 13
# SiHg3Br GGA-PBE relaxed
data_SiHg3Br
_symmetry_space_group_name_H-M 'P 1'
_symmetry_Int_Tables_number 1
_cell_length_a 5.196
_cell_length_b 5.196
_cell_length_c 5.196
_cell_angle_alpha 90.00
_cell_angle_beta 90.00
_cell_angle_gamma 90.00
loop_
_symmetry_equiv_pos_as_xyz
'x,y,z'
loop_
_atom_site_label
_atom_site_fract_x
_atom_site_fract_y
_atom_site_fract_z
Si1 0.000 0.000 0.000
Hg1 0.000 0.000 0.500
Hg2 0.000 0.500 0.000
Hg3 0.500 0.000 0.000
Br1 0.500 0.500 0.500
# - Energy relative to the elements, uncorrected: -49 meV per atom
# - Distance to the lowest polymorph of the same formula: 0 meV per atom

Summary of uncorrected energy in eV/atom
-6.884 -4.213 -5.518 -6.067 -4.821 -5.494 -5.046 -4.677 -1.955 -7.757 -7.676 -7.714 -1.649
(order as listed above)
Summary of N(E_F) in states/eV per cell
3.78 14.47 5.74 2.01 3.03 4.80 0.96 14.15 8.66 8.11 2.79 15.78 0.99
(order as listed above)